Computed, not measured: CsP2PdO after structural relaxation at the PBEsol level of DFT.

abc: 4.458 4.458 5.830
angles: 90.00 90.00 90.00
Element x y z (fractional)
Cs (0.000, 0.000, 0.000)
P (0.000, 0.500, 0.500)
P (0.500, 0.000, 0.500)
Pd (0.500, 0.500, 0.500)
O (0.500, 0.500, 0.000)

theoretical density	4546	kg/m3
SG	No. 123
uncorrected formation energy	0.3521	eV/atom


Computed, not measured: ZnSnO3 after structural relaxation at the PBEsol level of DFT.

abc: 5.595 5.595 5.595
angles: 56.70 56.70 56.70
Element x y z (fractional)
Zn (0.135, 0.135, 0.135)
Zn (0.865, 0.865, 0.865)
Sn (0.351, 0.351, 0.351)
Sn (0.649, 0.649, 0.649)
O (0.053, 0.742, 0.451)
O (0.258, 0.549, 0.947)
O (0.451, 0.053, 0.742)
O (0.549, 0.947, 0.258)
O (0.742, 0.451, 0.053)
O (0.947, 0.258, 0.549)

theoretical density	6736	kg/m3
SG	No. 148
uncorrected formation energy	-1.5424	eV/atom


Computed, not measured: LiAlRh2 after structural relaxation at the PBEsol level of DFT.

abc: 2.971 4.573 7.984
angles: 90.00 90.00 90.00
Element x y z (fractional)
Li (0.000, 0.000, 0.000)
Li (0.500, 0.500, 0.000)
Al (0.000, 0.000, 0.500)
Al (0.500, 0.500, 0.500)
Rh (0.000, 0.500, 0.263)
Rh (0.000, 0.500, 0.737)
Rh (0.500, 0.000, 0.263)
Rh (0.500, 0.000, 0.737)

theoretical density	7341	kg/m3
SG	No. 65
energy of formation from the pure elements	-384	meV per atom


Computed, not measured: Be2SeCl after structural relaxation at the PBEsol level of DFT.

abc: 4.345 4.345 2.974
angles: 90.00 90.00 90.00
Element x y z (fractional)
Be (0.000, 0.500, 0.000)
Be (0.500, 0.000, 0.000)
Se (0.000, 0.000, 0.500)
Cl (0.500, 0.500, 0.500)

excess energy over the best structure of this formula in the dataset	683	meV per atom
theoretical density	3916	kg/m3
SG	No. 123
uncorrected formation energy	0.3660	eV/atom


Computed, not measured: LiZrRe2 after structural relaxation at the PBEsol level of DFT.

abc: 3.272 4.179 4.507
angles: 90.00 90.00 90.00
Element x y z (fractional)
Li (0.000, 0.000, 0.000)
Zr (0.500, 0.500, 0.000)
Re (0.000, 0.500, 0.500)
Re (0.500, 0.000, 0.500)

excess energy over the best structure of this formula in the dataset	69	meV per atom
theoretical density	12681	kg/m3
SG	No. 47
energy of formation from the pure elements	168	meV per atom


Computed, not measured: NdNi after structural relaxation at the PBEsol level of DFT.

abc: 3.761 10.348 4.261
angles: 90.00 90.00 90.00
Element x y z (fractional)
Nd (0.000, 0.138, 0.250)
Nd (0.000, 0.862, 0.750)
Nd (0.500, 0.362, 0.750)
Nd (0.500, 0.638, 0.250)
Ni (0.000, 0.429, 0.250)
Ni (0.000, 0.571, 0.750)
Ni (0.500, 0.071, 0.750)
Ni (0.500, 0.929, 0.250)

theoretical density	8128	kg/m3
SG	No. 63
energy of formation from the pure elements	-297	meV per atom


Computed, not measured: TaZnHg2 after structural relaxation at the PBEsol level of DFT.

abc: 4.143 4.143 4.154
angles: 90.00 90.00 90.00
Element x y z (fractional)
Ta (0.000, 0.000, 0.000)
Zn (0.500, 0.500, 0.000)
Hg (0.000, 0.500, 0.500)
Hg (0.500, 0.000, 0.500)

theoretical density	15083	kg/m3
SG	No. 123
energy of formation from the pure elements	219	meV per atom


Computed, not measured: MgOs2Se after structural relaxation at the PBEsol level of DFT.

abc: 6.125 6.125 6.125
angles: 90.00 90.00 90.00
Element x y z (fractional)
Mg (0.000, 0.000, 0.000)
Mg (0.000, 0.500, 0.500)
Mg (0.500, 0.000, 0.500)
Mg (0.500, 0.500, 0.000)
Os (0.250, 0.250, 0.250)
Os (0.250, 0.250, 0.750)
Os (0.250, 0.750, 0.250)
Os (0.250, 0.750, 0.750)
Os (0.750, 0.250, 0.250)
Os (0.750, 0.250, 0.750)
Os (0.750, 0.750, 0.250)
Os (0.750, 0.750, 0.750)
Se (0.000, 0.000, 0.500)
Se (0.000, 0.500, 0.000)
Se (0.500, 0.000, 0.000)
Se (0.500, 0.500, 0.500)

excess energy over the best structure of this formula in the dataset	314	meV per atom
theoretical density	13983	kg/m3
SG	No. 225
uncorrected formation energy	0.5802	eV/atom


Computed, not measured: SbMoPb2 after structural relaxation at the PBEsol level of DFT.

abc: 4.814 4.814 8.200
angles: 90.00 90.00 90.00
Element x y z (fractional)
Sb (0.000, 0.000, 0.000)
Sb (0.500, 0.500, 0.500)
Mo (0.000, 0.500, 0.750)
Mo (0.500, 0.000, 0.250)
Pb (0.000, 0.000, 0.500)
Pb (0.000, 0.500, 0.250)
Pb (0.500, 0.000, 0.750)
Pb (0.500, 0.500, 0.000)

theoretical density	11045	kg/m3
SG	No. 119
uncorrected formation energy	0.7038	eV/atom


Computed, not measured: BaAg4Ru after structural relaxation at the PBEsol level of DFT.

abc: 5.518 5.518 5.518
angles: 60.00 60.00 60.00
Element x y z (fractional)
Ba (0.000, 0.000, 0.000)
Ag (0.376, 0.376, 0.376)
Ag (0.376, 0.376, 0.871)
Ag (0.376, 0.871, 0.376)
Ag (0.871, 0.376, 0.376)
Ru (0.750, 0.750, 0.750)

theoretical density	9360	kg/m3
SG	No. 216
energy of formation from the pure elements	408	meV per atom


Computed, not measured: LaYMg6 after structural relaxation at the PBEsol level of DFT.

abc: 8.991 8.991 8.991
angles: 33.52 33.52 33.52
Element x y z (fractional)
La (0.000, 0.000, 0.000)
Y (0.500, 0.500, 0.500)
Mg (0.127, 0.127, 0.127)
Mg (0.249, 0.249, 0.249)
Mg (0.377, 0.377, 0.377)
Mg (0.623, 0.623, 0.623)
Mg (0.751, 0.751, 0.751)
Mg (0.873, 0.873, 0.873)

excess energy over the best structure of this formula in the dataset	0	meV per atom
theoretical density	3143	kg/m3
SG	No. 166
energy of formation from the pure elements	-108	meV per atom


Computed, not measured: ZrAgP2 after structural relaxation at the PBEsol level of DFT.

abc: 3.851 3.851 17.044
angles: 90.00 90.00 120.00
Element x y z (fractional)
Zr (0.000, 0.000, 0.000)
Zr (0.333, 0.667, 0.667)
Zr (0.667, 0.333, 0.333)
Ag (0.000, 0.000, 0.500)
Ag (0.333, 0.667, 0.167)
Ag (0.667, 0.333, 0.833)
P (0.000, 0.000, 0.252)
P (0.000, 0.000, 0.748)
P (0.333, 0.667, 0.415)
P (0.333, 0.667, 0.918)
P (0.667, 0.333, 0.082)
P (0.667, 0.333, 0.585)

excess energy over the best structure of this formula in the dataset	177	meV per atom
theoretical density	5940	kg/m3
SG	No. 166
energy of formation from the pure elements	-356	meV per atom